[1]
The following is a DFT calculation (PBE) of a geometry-optimized Al2TlRh2 structure.

a = 7.4462 Å, b = 7.4462 Å, c = 2.9161 Å
α = 90.00°, β = 90.00°, γ = 90.00°
Last column: nearest neighbours and their distance in Å.
Element x y z (fractional)
Rh 0.8479 0.3479 0.5000  6 Al 2.59-2.67
Rh 0.3479 0.1521 0.5000  6 Al 2.59-2.67
Rh 0.6521 0.8479 0.5000  6 Al 2.59-2.67
Rh 0.1521 0.6521 0.5000  6 Al 2.59-2.67
Al 0.8644 0.6356 0.0000  6 Rh 2.59-2.67, 1 Al 2.86, 2 Tl 2.89
Al 0.3644 0.8644 0.0000  6 Rh 2.59-2.67, 1 Al 2.86, 2 Tl 2.89
Al 0.6356 0.1356 0.0000  6 Rh 2.59-2.67, 1 Al 2.86, 2 Tl 2.89
Al 0.1356 0.3644 0.0000  6 Rh 2.59-2.67, 1 Al 2.86, 2 Tl 2.89
Tl 0.5000 0.5000 0.0000  4 Al 2.89, 2 Tl 2.92, 8 Rh 3.18
Tl 0.0000 0.0000 0.0000  4 Al 2.89, 2 Tl 2.92, 8 Rh 3.18

## Properties
**Distance to the lowest polymorph of the same formula**: 91 meV/atom
**SG**: No. 127
**Formation energy**: -0.47 eV/atom
**Electronic total energy**: -53.8 eV/cell

[2]
The following is a DFT calculation (PBE) of a geometry-optimized Ca2PrPd9 structure.

a = 5.4062 Å, b = 5.4062 Å, c = 9.5130 Å
α = 73.49°, β = 73.49°, γ = 60.00°
Last column: nearest neighbours and their distance in Å.
Element x y z (fractional)
Pd 0.4145 0.4145 0.2537  7 Pd 2.69-2.78
Pd 0.6671 0.6671 0.9987  6 Pd 2.75-2.78
Pd 0.3329 0.3329 0.0013  6 Pd 2.75-2.78
Pd 0.5000 0.5000 0.5000  6 Pd 2.71
Pd 0.4145 0.9173 0.2537  7 Pd 2.69-2.78
Pd 0.9173 0.4145 0.2537  7 Pd 2.69-2.78
Pd 0.5855 0.5855 0.7463  7 Pd 2.69-2.78
Pd 0.0827 0.5855 0.7463  7 Pd 2.69-2.78
Pd 0.5855 0.0827 0.7463  7 Pd 2.69-2.78
Pr 0.0000 0.0000 0.0000  6 Pd 3.12
Ca 0.1412 0.1412 0.5763  12 Pd 3.11-3.29, 3 Ca 3.41
Ca 0.8588 0.8588 0.4237  12 Pd 3.11-3.29, 3 Ca 3.41

## Properties
**SG**: No. 166
**Formation energy**: -0.62 eV/atom
**Electronic total energy**: -62.9 eV/cell

[3]
The following is a DFT calculation (PBE) of a geometry-optimized Sr2CaW structure.

a = 3.8501 Å, b = 3.8507 Å, c = 9.8213 Å
α = 90.00°, β = 90.00°, γ = 90.00°
Last column: nearest neighbours and their distance in Å.
Element x y z (fractional)
Sr 0.0000 0.0000 0.4421  4 W 3.31
Sr 0.0000 0.0000 0.0579  4 W 3.31
W 0.5000 0.5000 0.2500  8 Sr 3.31
Ca 0.5000 0.5000 0.7500  4 Ca 3.85, 8 Sr 4.07

## Properties
**Distance to the lowest polymorph of the same formula**: 44 meV/atom
**SG**: No. 123
**Formation energy**: 0.95 eV/atom
**Electronic total energy**: -14.5 eV/cell

[4]
The following is a DFT calculation (PBE) of a geometry-optimized Ti6Al16Pd7 structure.

a = 8.6467 Å, b = 8.6467 Å, c = 8.6467 Å
α = 60.00°, β = 60.00°, γ = 60.00°
Last column: nearest neighbours and their distance in Å.
Element x y z (fractional)
Pd 0.0000 0.0000 0.0000  8 Al 2.55
Pd 0.5000 0.0000 0.5000  8 Al 2.50-2.68
Pd 0.5000 0.5000 0.0000  8 Al 2.50-2.68
Pd 0.0000 0.5000 0.5000  8 Al 2.50-2.68
Pd 0.0000 0.0000 0.5000  8 Al 2.50-2.68
Pd 0.0000 0.5000 0.0000  8 Al 2.50-2.68
Pd 0.5000 0.0000 0.0000  8 Al 2.50-2.68
Ti 0.3264 0.3264 0.6736  4 Al 2.79, 4 Ti 3.00
Ti 0.3264 0.6736 0.3264  4 Al 2.79, 4 Ti 3.00
Ti 0.6736 0.3264 0.6736  4 Al 2.79, 4 Ti 3.00
Ti 0.6736 0.3264 0.3264  4 Al 2.79, 4 Ti 3.00
Ti 0.6736 0.6736 0.3264  4 Al 2.79, 4 Ti 3.00
Ti 0.3264 0.6736 0.6736  4 Al 2.79, 4 Ti 3.00
Al 0.3391 0.3391 0.9828  3 Pd 2.50, 3 Al 2.76, 3 Ti 2.79
Al 0.0172 0.6609 0.6609  3 Pd 2.50, 3 Al 2.76, 3 Ti 2.79
Al 0.6609 0.6609 0.6609  3 Pd 2.50, 3 Al 2.76, 3 Ti 2.79
Al 0.3391 0.3391 0.3391  3 Pd 2.50, 3 Al 2.76, 3 Ti 2.79
Al 0.6609 0.0172 0.6609  3 Pd 2.50, 3 Al 2.76, 3 Ti 2.79
Al 0.8796 0.3612 0.8796  4 Pd 2.55-2.68, 3 Al 2.76
Al 0.6388 0.1204 0.1204  4 Pd 2.55-2.68, 3 Al 2.76
Al 0.3391 0.9828 0.3391  3 Pd 2.50, 3 Al 2.76, 3 Ti 2.79
Al 0.6609 0.6609 0.0172  3 Pd 2.50, 3 Al 2.76, 3 Ti 2.79
Al 0.8796 0.8796 0.8796  4 Pd 2.55-2.68, 3 Al 2.76
Al 0.9828 0.3391 0.3391  3 Pd 2.50, 3 Al 2.76, 3 Ti 2.79
Al 0.1204 0.1204 0.6388  4 Pd 2.55-2.68, 3 Al 2.76
Al 0.8796 0.8796 0.3612  4 Pd 2.55-2.68, 3 Al 2.76
Al 0.1204 0.1204 0.1204  4 Pd 2.55-2.68, 3 Al 2.76
Al 0.1204 0.6388 0.1204  4 Pd 2.55-2.68, 3 Al 2.76
Al 0.3612 0.8796 0.8796  4 Pd 2.55-2.68, 3 Al 2.76

## Properties
**SG**: No. 225
**Formation energy**: -0.64 eV/atom
**Electronic total energy**: -162.2 eV/cell

[5]
The following is a DFT calculation (PBE) of a geometry-optimized AlCuHg2 structure.

a = 5.0239 Å, b = 5.0239 Å, c = 5.0239 Å
α = 128.67°, β = 128.67°, γ = 75.54°
Last column: nearest neighbours and their distance in Å.
Element x y z (fractional)
Hg 0.0000 0.0000 0.0000  4 Cu 2.95, 4 Al 2.95, 4 Hg 3.08
Hg 0.5000 0.5000 0.0000  4 Al 2.95, 4 Cu 2.95, 4 Hg 3.08
Al 0.2500 0.7500 0.5000  8 Hg 2.95, 4 Cu 3.08
Cu 0.7500 0.2500 0.5000  8 Hg 2.95, 4 Al 3.08

## Properties
**SG**: No. 139
**Formation energy**: 0.23 eV/atom
**Electronic total energy**: -7.5 eV/cell

[6]
The following is a DFT calculation (PBE) of a geometry-optimized Ba2RhAu structure.

a = 7.7634 Å, b = 7.7634 Å, c = 7.7634 Å
α = 146.81°, β = 146.51°, γ = 47.87°
Last column: nearest neighbours and their distance in Å.
Element x y z (fractional)
Ba 0.7511 0.2511 0.5000  4 Au 3.29, 2 Rh 3.38
Ba 0.0007 0.0007 0.0000  4 Rh 3.31, 2 Au 3.42
Rh 0.4300 0.4300 0.0000  2 Au 2.73
Au 0.3182 0.8182 0.5000  2 Rh 2.73

## Properties
**SG**: No. 44
**Formation energy**: -0.28 eV/atom
**Electronic total energy**: -15.6 eV/cell